NaVPO2 | PBE+U | optimized geometry

```
5
Lattice="4.0208 0.0000 0.0000 0.0000 4.0208 0.0000 0.0000 0.0000 4.8086" Properties=species:S:1:pos:R:3 pbc="T T T"
O 0.0000 2.0104 0.0000
O 2.0104 0.0000 0.0000
V 2.0104 2.0104 2.4043
P 0.0000 0.0000 2.4043
Na 0.0000 0.0000 0.0000
```

## Properties
E above lowest polymorph = 1639 meV per atom
symmetry = P4/mmm